{"formula": "Tl2GaHgPd", "functional": "PBE-GGA", "state": "optimized geometry", "lattice_angstrom": [[-0.037, 3.998, -3.650], [-5.249, -0.917, -0.952], [-1.188, 3.176, 3.491]], "species": ["Tl", "Tl", "Ga", "Hg", "Pd"], "frac_coords": [[0.000, 0.500, 0.000], [0.500, 0.000, 0.000], [0.000, 0.000, 0.500], [0.500, 0.500, 0.500], [0.000, 0.000, 0.000]], "e_tot_ry_per_atom": -0.198, "volume_a3_per_cell": 142.64, "sg": "P4/mmm (123)"}

{"formula": "Ac4Ag3Sn", "functional": "PBE-GGA", "state": "optimized geometry", "lattice_angstrom": [[-3.422, 2.833, -3.523], [-4.129, -0.159, 3.882], [6.369, 5.574, 2.858]], "species": ["Ac", "Ac", "Ac", "Ac", "Sn", "Ag", "Ag", "Ag"], "frac_coords": [[0.373, 0.373, 0.747], [0.627, 0.627, 0.253], [0.127, 0.127, 0.253], [0.873, 0.873, 0.747], [0.500, 0.000, 0.000], [0.000, 0.500, 0.000], [0.752, 0.253, 0.505], [0.248, 0.747, 0.495]], "e_tot_ry_per_atom": -0.293, "volume_a3_per_cell": 256.56, "sg": "I4/mmm (139)"}